Entry 1:
Compound: Dy3HoEr3
Source: Alexandria via LeMat-Bulk
Functional: PBE
Structure: optimized geometry

a = 14.4865 Å, b = 14.4865 Å, c = 14.4865 Å
α = 24.35°, β = 24.35°, γ = 24.35°
Closest atoms and distances in Å follow each position.
Fractional coordinates of all 14 atoms:
Dy (0.1326, 0.4637, 0.8013)  3 Er 3.46, 9 Dy 3.51-3.54
Dy (0.1987, 0.8674, 0.5363)  3 Er 3.46, 9 Dy 3.51-3.54
Dy (0.4637, 0.8013, 0.1326)  3 Er 3.46, 9 Dy 3.51-3.54
Dy (0.5363, 0.1987, 0.8674)  3 Er 3.46, 9 Dy 3.51-3.54
Dy (0.8013, 0.1326, 0.4637)  3 Er 3.46, 9 Dy 3.51-3.54
Dy (0.8674, 0.5363, 0.1987)  3 Er 3.46, 9 Dy 3.51-3.54
Ho (0.3333, 0.3333, 0.3333)  6 Er 3.45, 3 Ho 3.53
Ho (0.6667, 0.6667, 0.6667)  6 Er 3.45, 3 Ho 3.53
Er (0.0661, 0.7321, 0.4003)  2 Ho 3.45, 3 Dy 3.46, 6 Er 3.52-3.54
Er (0.2679, 0.5997, 0.9339)  2 Ho 3.45, 3 Dy 3.46, 6 Er 3.52-3.54
Er (0.4003, 0.0661, 0.7321)  2 Ho 3.45, 3 Dy 3.46, 6 Er 3.52-3.54
Er (0.5997, 0.9339, 0.2679)  2 Ho 3.45, 3 Dy 3.46, 6 Er 3.52-3.54
Er (0.7321, 0.4003, 0.0661)  2 Ho 3.45, 3 Dy 3.46, 6 Er 3.52-3.54
Er (0.9339, 0.2679, 0.5997)  2 Ho 3.45, 3 Dy 3.46, 6 Er 3.52-3.54

Its space-group type is R-3. The energy relative to the lowest polymorph listed for this composition is 139 meV/atom.

---

Entry 2:
Compound: Tb14DyCd
Source: Alexandria via LeMat-Bulk
Functional: PBE
Structure: optimized geometry

a = 7.0482 Å, b = 7.0482 Å, c = 10.0195 Å
α = 90.00°, β = 90.00°, γ = 90.00°
Closest atoms and distances in Å follow each position.
Fractional coordinates of all 16 atoms:
Tb (0.0000, 0.0000, 0.0000)  12 Tb 3.52-3.55
Tb (0.0000, 0.5000, 0.0000)  12 Tb 3.52-3.55
Tb (0.0000, 0.5000, 0.5000)  8 Tb 3.52, 2 Cd 3.52, 2 Dy 3.52
Tb (0.2499, 0.2499, 0.2525)  1 Dy 3.51, 10 Tb 3.52-3.55, 1 Cd 3.52
Tb (0.2499, 0.2499, 0.7475)  1 Dy 3.51, 10 Tb 3.52-3.55, 1 Cd 3.52
Tb (0.2499, 0.7501, 0.2525)  1 Dy 3.51, 10 Tb 3.52-3.55, 1 Cd 3.52
Tb (0.2499, 0.7501, 0.7475)  1 Dy 3.51, 10 Tb 3.52-3.55, 1 Cd 3.52
Tb (0.5000, 0.0000, 0.0000)  12 Tb 3.52-3.55
Tb (0.5000, 0.0000, 0.5000)  8 Tb 3.52, 2 Cd 3.52, 2 Dy 3.52
Tb (0.5000, 0.5000, 0.0000)  12 Tb 3.52-3.55
Tb (0.7501, 0.2499, 0.2525)  1 Dy 3.51, 10 Tb 3.52-3.55, 1 Cd 3.52
Tb (0.7501, 0.2499, 0.7475)  1 Dy 3.51, 10 Tb 3.52-3.55, 1 Cd 3.52
Tb (0.7501, 0.7501, 0.2525)  1 Dy 3.51, 10 Tb 3.52-3.55, 1 Cd 3.52
Tb (0.7501, 0.7501, 0.7475)  1 Dy 3.51, 10 Tb 3.52-3.55, 1 Cd 3.52
Dy (0.0000, 0.0000, 0.5000)  12 Tb 3.51-3.52
Cd (0.5000, 0.5000, 0.5000)  12 Tb 3.52

Its space-group type is P4/mmm.

---

| no. | size of the total moment (μB/f.u.) | ΔE_f (eV per atom) | V (Å³/f.u.) |
| --- | --- | --- | --- |
| 1 | 0.000 | 0.15 | 227.1 |
| 2 | 0.000 | 0.00 | 497.7 |